Entry 1:
An optimized crystal structure of Be2GaMo2Ru5. Source: Alexandria, functional PBE-GGA.

Properties
As for the space-group type: No. 127. For the formation energy, the calculation gives -0.160 eV per atom. As for the crystal system: tetragonal.

Cell lengths 9.316, 9.316, 3.005 Å; angles 90.00, 90.00, 90.00 degrees
Positions (direct):
Be 0.125 0.375 0.000
Be 0.375 0.875 0.000
Be 0.625 0.125 0.000
Be 0.875 0.625 0.000
Ga 0.000 0.000 0.000
Ga 0.500 0.500 0.000
Mo 0.175 0.675 0.000
Mo 0.325 0.175 0.000
Mo 0.675 0.825 0.000
Mo 0.825 0.325 0.000
Ru 0.000 0.500 0.500
Ru 0.065 0.210 0.500
Ru 0.210 0.935 0.500
Ru 0.290 0.435 0.500
Ru 0.435 0.710 0.500
Ru 0.500 0.000 0.500
Ru 0.565 0.290 0.500
Ru 0.710 0.565 0.500
Ru 0.790 0.065 0.500
Ru 0.935 0.790 0.500



Entry 2:
An optimized crystal structure of NaReS2. Source: Alexandria, functional PBE-GGA.

Properties
As for the space-group type: No. 225. Its uncorrected formation energy is -0.02 eV/atom. As for the energy above the lowest structure with this stoichiometry: 1.816 eV/f.u. As for the crystal system: cubic.

Cell lengths 4.328, 4.328, 4.328 Å; angles 60.00, 60.00, 60.00 degrees
Positions (direct):
Na 0.000 0.000 0.000
Re 0.500 0.500 0.500
S 0.250 0.250 0.250
S 0.750 0.750 0.750



Entry 3:
An optimized crystal structure of LiThCuAg. Source: Alexandria, functional PBE-GGA.

Properties
As for the space-group type: No. 216. For the formation energy, the calculation gives -0.008 eV per atom. As for the crystal system: cubic.

Cell lengths 4.921, 4.921, 4.921 Å; angles 60.00, 60.00, 60.00 degrees
Positions (direct):
Li 0.000 0.000 0.000
Th 0.500 0.500 0.500
Cu 0.250 0.250 0.250
Ag 0.750 0.750 0.750



no.,M_tot (μB/f.u.),D(E_F) (states/eV/f.u.)
1,0.00,8.87
2,0.00,0.00
3,0.00,2.64